[1]
KLiRu2 after structural relaxation. Source: Alexandria, functional PBE.

Summary:
E above lowest polymorph: 532.0 meV/atom
ρ: 5.19 g/cm³
Symmetry: I-42d

Lattice parameters (Å, degrees): 3.900 3.900 10.802 79.60 79.60 90.00
Fractional positions:
Li (0.250, 0.750, 0.500)
Li (0.500, 0.500, 0.000)
Ru (0.375, 0.455, 0.750)
Ru (0.205, 0.625, 0.250)
Ru (0.875, 0.795, 0.750)
Ru (0.545, 0.125, 0.250)
K (0.750, 0.250, 0.500)
K (0.000, 0.000, 0.000)

[2]
KLi2Ru after structural relaxation. Source: Alexandria, functional PBE.

Summary:
E above lowest polymorph: 310.5 meV/atom
ρ: 3.05 g/cm³
Symmetry: Fm-3m

Lattice parameters (Å, degrees): 4.911 4.911 4.911 60.00 60.00 60.00
Fractional positions:
Li (0.250, 0.250, 0.250)
Li (0.750, 0.750, 0.750)
K (0.000, 0.000, 0.000)
Ru (0.500, 0.500, 0.500)